Entry 1:
DFT (SCAN) results for a crystal of TcRuRh relaxed with PBEsol.

Computed properties:
- Formation enthalpy at 0 K: -22 meV per atom
- Magnetization: 0.00 μB/atom
- Volume: 13.565 Å³/atom
- DOS at the Fermi energy: 2.20 states/eV per cell
- Energy above the most stable polymorph in this dataset: 2 meV per atom

abc: 2.6741 2.6741 6.5713
angles: 90.00 90.00 120.00
Space group P3m1 (No. 156)
Inequivalent atoms, fractional coordinates:
Tc 0.0000 0.0000 0.0000 (multiplicity 1)
Ru 0.6667 0.3333 0.3211 (multiplicity 1)
Rh 0.3333 0.6667 0.6637 (multiplicity 1)

Entry 2:
DFT (SCAN) results for a crystal of TeRuRh relaxed with PBEsol.

Computed properties:
- Magnetization: 0.00 μB/atom
- Volume: 16.396 Å³/atom
- DOS at the Fermi energy: 2.78 states/eV per cell
- Energy relative to the elements, uncorrected: 0.395 eV per atom
- Energy above the most stable polymorph in this dataset: 200 meV per atom

abc: 3.0666 3.0666 6.0399
angles: 90.00 90.00 120.00
Space group P3m1 (No. 156)
Inequivalent atoms, fractional coordinates:
Te 0.0000 0.0000 0.0000 (multiplicity 1)
Ru 0.3333 0.6667 0.3238 (multiplicity 1)
Rh 0.6667 0.3333 0.6676 (multiplicity 1)

Entry 3:
DFT (SCAN) results for a crystal of TeRuRh relaxed with PBEsol.

Computed properties:
- Magnetization: 0.00 μB/atom
- Volume: 16.357 Å³/atom
- DOS at the Fermi energy: 3.49 states/eV per cell
- Energy relative to the elements, uncorrected: 0.196 eV per atom
- Energy above the most stable polymorph in this dataset: 0 meV per atom

abc: 4.2296 4.2296 3.1674
angles: 90.00 90.00 120.00
Space group P3m1 (No. 156)
Inequivalent atoms, fractional coordinates:
Te 0.0000 0.0000 0.0000 (multiplicity 1)
Ru 0.6667 0.3333 0.7565 (multiplicity 1)
Rh 0.3333 0.6667 0.2802 (multiplicity 1)

Entry 4:
DFT (SCAN) results for a crystal of TiRuRh3 relaxed with PBEsol.

Computed properties:
- Formation enthalpy at 0 K: 956 meV per atom
- Magnetization: 0.72 μB/atom
- Volume: 16.971 Å³/atom
- DOS at the Fermi energy: 5.09 states/eV per cell

abc: 4.394 4.394 4.394
angles: 90.00 90.00 90.00
Space group Pm-3m (No. 221)
Inequivalent atoms, fractional coordinates:
Ti 0.000 0.000 0.000 (multiplicity 1)
Ru 0.500 0.500 0.500 (multiplicity 1)
Rh 0.000 0.000 0.500 (multiplicity 3)

> volume of number 1 (TcRuRh)?

13.565 Å³/atom

> Among the records above, which one has the highest volume?

TiRuRh3